Fe9B4Ir3 | GGA-PBEsol | relaxed

Cell: 4.389 5.387 6.797 Å, 90.00 90.00 89.68°
Site moments in Bohr magnetons follow the coordinates.
Sites, in units of the cell vectors:
Ir  0.632  0.974  0.000  0.31
Ir  0.126  0.524  0.500  0.33
Ir  0.370  0.030  0.500  0.33
Fe  0.875  0.473  0.000  2.44
Fe  0.355  0.325  0.814  1.92
Fe  0.640  0.677  0.696  2.03
Fe  0.138  0.816  0.190  1.94
Fe  0.355  0.325  0.186  1.92
Fe  0.860  0.180  0.697  1.92
Fe  0.640  0.677  0.304  2.03
Fe  0.138  0.816  0.810  1.94
Fe  0.860  0.180  0.303  1.92
B  0.089  0.117  0.000  -0.11
B  0.591  0.383  0.500  -0.08
B  0.909  0.886  0.500  -0.09
B  0.423  0.618  0.000  -0.12

## Properties
Space-group type = Pm (6)
Calculated volume = 160.7 Å³/cell
Energy of formation = -0.230 eV per atom
DOS at the Fermi energy = 0.976 states/eV/atom